VASP calculation (GGA+U) on crystalline Li5Mn2Co5O12 at its relaxed geometry.

## Properties
Crystal system = monoclinic
Total magnetic moment = 12.0 μB/cell
Total energy = -5.996 eV/atom

Unit cell a=5.064 b=5.064 c=9.825 alpha=95.33 beta=95.33 gamma=120.17
Element x y z (fractional)
Li  0.000  0.000  0.000
Li  0.084  0.409  0.246
Li  0.251  0.259  0.751
Li  0.591  0.916  0.754
Li  0.741  0.749  0.249
Mn  0.165  0.835  0.500
Mn  0.667  0.333  0.000
Co  0.336  0.664  0.000
Co  0.405  0.080  0.245
Co  0.498  0.502  0.500
Co  0.828  0.172  0.500
Co  0.920  0.595  0.755
O  0.051  0.690  0.115
O  0.143  0.132  0.385
O  0.207  0.547  0.610
O  0.310  0.949  0.885
O  0.396  0.388  0.111
O  0.453  0.793  0.390
O  0.549  0.247  0.622
O  0.612  0.604  0.889
O  0.684  0.039  0.113
O  0.753  0.451  0.378
O  0.868  0.857  0.615
O  0.961  0.316  0.887